Material: PrZnAg2O6
Method: DFT, GGA-PBE
State: relaxed

The formation energy without anion corrections comes out at -0.940 eV/atom. Its final energy is -5.091 eV per atom. The density of states at the Fermi level comes out at 9.88 states/eV per cell. The value obtained for the total moment is 0.00 μB per formula unit.

The space group is Pmn2_1 (No. 31) and the conventional cell measures 8.2427, 5.7601 and 5.3741 Å, with angles of 90.00, 90.00 and 90.00 degrees. Symmetry generates all atoms from Pr at (0.0000, 0.1808, 0.0000), Zn at (0.0000, 0.6856, 0.4461), Ag at (0.2482, 0.7444, 0.9757), O at (0.0000, 0.3142, 0.5842), O at (0.0000, 0.7962, 0.8050), O at (0.1638, 0.4778, 0.1991) and O at (0.1762, 0.9416, 0.2891).

Material: AgPt3O8
Method: DFT, GGA-PBE
State: relaxed

The formation energy without anion corrections comes out at -0.272 eV/atom. Its final energy is -5.325 eV per atom. The density of states at the Fermi level comes out at 9.12 states/eV per cell. The value obtained for the total moment is 0.73 μB per formula unit.

The space group is C2/m (No. 12) and the conventional cell measures 10.2443, 6.2713 and 6.0364 Å, with angles of 90.00, 119.82 and 90.00 degrees. Symmetry generates all atoms from Ag at (0.0000, 0.0000, 0.0000), Pt at (0.0000, 0.5000, 0.0000), Pt at (0.2500, 0.2500, 0.5000), O at (0.0262, 0.2496, 0.2426), O at (0.2257, 0.5000, 0.6807) and O at (0.2306, 0.5000, 0.2594).

Material: Ag2PtO6
Method: DFT, GGA-PBE
State: relaxed

The formation energy without anion corrections comes out at 0.177 eV/atom. Its final energy is -4.433 eV per atom. The density of states at the Fermi level comes out at 14.78 states/eV per cell. The value obtained for the total moment is 1.17 μB per formula unit.

The space group is Immm (No. 71) and the conventional cell measures 3.4646, 5.2007 and 11.4185 Å, with angles of 90.00, 90.00 and 90.00 degrees. Symmetry generates all atoms from Ag at (0.0000, 0.0000, 0.1620), Pt at (0.0000, 0.0000, 0.5000), O at (0.0000, 0.2396, 0.3493) and O at (0.0000, 0.2783, 0.0000).

Material: Ag3PtO
Method: DFT, GGA-PBE
State: relaxed

The formation energy without anion corrections comes out at 1.260 eV/atom. As for the excess energy over the best structure of this formula in the dataset: 989 meV/atom. Its final energy is -2.651 eV per atom. The density of states at the Fermi level comes out at 11.74 states/eV per cell. The value obtained for the total moment is 0.00 μB per formula unit.

The space group is Pm-3m (No. 221) and the conventional cell measures 5.1152, 5.1152 and 5.1152 Å, with angles of 90.00, 90.00 and 90.00 degrees. Symmetry generates all atoms from Ag at (0.0000, 0.0000, 0.5000), Pt at (0.0000, 0.0000, 0.0000) and O at (0.5000, 0.5000, 0.5000).